[1]
{"formula": "Fe2Cu2Pd7", "functional": "GGA-PBE", "state": "relaxed", "cell": [[4.791, 0.000, 0.000], [-1.631, 5.921, 0.000], [-1.973, -0.872, 5.883]], "species": ["Fe", "Fe", "Cu", "Cu", "Pd", "Pd", "Pd", "Pd", "Pd", "Pd", "Pd"], "frac_coords": [[0.049, 0.260, 0.255], [0.951, 0.740, 0.745], [0.003, 0.830, 0.173], [0.997, 0.170, 0.827], [0.310, 0.077, 0.575], [0.313, 0.571, 0.078], [0.316, 0.607, 0.588], [0.500, 0.000, 0.000], [0.684, 0.393, 0.412], [0.687, 0.429, 0.922], [0.690, 0.923, 0.425]], "space_group": "P-1 (2)", "ef_ev_per_atom": 0.088}

***

[2]
{"formula": "FeCu3Pd6", "functional": "GGA-PBE", "state": "relaxed", "cell": [[9.881, 0.000, 0.000], [0.000, 2.724, 0.000], [-2.353, 0.000, 10.738]], "species": ["Fe", "Fe", "Cu", "Cu", "Cu", "Cu", "Cu", "Cu", "Pd", "Pd", "Pd", "Pd", "Pd", "Pd", "Pd", "Pd", "Pd", "Pd", "Pd", "Pd"], "frac_coords": [[0.043, 0.250, 0.212], [0.957, 0.750, 0.788], [0.077, 0.250, 0.587], [0.371, 0.750, 0.996], [0.419, 0.250, 0.399], [0.581, 0.750, 0.601], [0.629, 0.250, 0.004], [0.923, 0.750, 0.413], [0.119, 0.250, 0.977], [0.180, 0.750, 0.413], [0.210, 0.750, 0.779], [0.264, 0.750, 0.194], [0.348, 0.250, 0.612], [0.494, 0.750, 0.815], [0.506, 0.250, 0.185], [0.652, 0.750, 0.388], [0.736, 0.250, 0.806], [0.790, 0.250, 0.221], [0.820, 0.250, 0.587], [0.881, 0.750, 0.023]], "space_group": "P2_1/m (11)", "ef_ev_per_atom": -0.033}

***

[3]
{"formula": "FeCuPd5", "functional": "GGA-PBE", "state": "relaxed", "cell": [[5.901, -3.574, 0.000], [5.901, 3.574, 0.000], [-1.014, 0.000, 5.005]], "species": ["Fe", "Fe", "Cu", "Cu", "Pd", "Pd", "Pd", "Pd", "Pd", "Pd", "Pd", "Pd", "Pd", "Pd"], "frac_coords": [[0.000, 0.500, 0.000], [0.500, 0.000, 0.500], [0.242, 0.758, 0.750], [0.758, 0.242, 0.250], [0.093, 0.280, 0.508], [0.124, 0.876, 0.250], [0.280, 0.093, 0.008], [0.348, 0.434, 0.341], [0.434, 0.348, 0.841], [0.566, 0.652, 0.159], [0.652, 0.566, 0.659], [0.720, 0.907, 0.992], [0.876, 0.124, 0.750], [0.907, 0.720, 0.492]], "space_group": "C2/c (15)", "ef_ev_per_atom": 0.007}

***

What calculated total energy values result from the calculations? In sequence: -5.50, -5.22, -5.50 eV per atom.
What excess energy over the best structure of this formula in the dataset values result from the calculations? In sequence: 121, 49, 0 meV per atom.